No. 1
Density functional theory data (PBEsol) for a geometry-optimized KBrCl2 structure.

```
KBrCl2
1.0
-4.375 -0.182 1.390
1.063 -3.401 2.899
1.172 3.950 4.204
K Br Cl
1 1 2
direct
0.000 0.000 0.489
0.500 0.500 0.699
0.000 0.000 0.992
0.500 0.500 0.320
```

Its uncorrected formation energy is -703.2 meV/atom. Its density of states at the Fermi level is 2.37 states/eV/cell. Its space-group type is P4mm, No. 99.



No. 2
Density functional theory data (PBEsol) for a geometry-optimized KBrCl2 structure.

```
KBrCl2
1.0
-3.094 -1.704 2.921
1.735 -0.440 5.177
-2.018 3.628 3.574
K Br Cl
1 1 2
direct
0.500 0.000 0.000
0.000 0.500 0.500
0.297 0.703 0.703
0.703 0.297 0.297
```

Its uncorrected formation energy is -688.4 meV/atom. Its density of states at the Fermi level is 4.02 states/eV/cell. Its space-group type is Immm, No. 71.



No. 3
Density functional theory data (PBEsol) for a geometry-optimized K2BrCl structure.

```
K2BrCl
1.0
-1.933 -4.043 0.457
1.008 -2.590 3.545
-5.869 0.882 5.175
K Br Cl
2 1 1
direct
0.754 0.754 0.738
0.246 0.246 0.262
0.000 0.000 0.000
0.500 0.500 0.500
```

Its uncorrected formation energy is -1831.3 meV/atom. Its density of states at the Fermi level is 0.00 states/eV/cell. As for the energy above the most stable polymorph in this dataset: 0.000 eV per atom. Its space-group type is R-3m, No. 166.